# GGA-PBE Tl2TeBr, relaxed
# space-group type = I-42d, No. 122
# M_tot = 0.00 μB/f.u.
# formation energy (no corrections) = -0.33 eV/atom
data_Tl2TeBr
_chemical_formula_sum 'Tl4 Te2 Br2'
_cell_length_a 8.2773
_cell_length_b 8.2773
_cell_length_c 7.5792
_cell_angle_alpha 56.90
_cell_angle_beta 56.90
_cell_angle_gamma 90.00
_space_group_name_H-M_alt 'P 1'
_space_group_IT_number 1
_space_group_name_Hall 'P 1'
loop_
_atom_site_label
_atom_site_fract_x
_atom_site_fract_y
_atom_site_fract_z
Tl1 0.6302 0.1250 0.2500
Tl2 0.1198 0.6250 0.2500
Tl3 0.3750 0.3698 0.7500
Tl4 0.8750 0.8802 0.7500
Te1 0.0000 0.0000 0.0000
Te2 0.7500 0.2500 0.5000
Br1 0.5000 0.5000 0.0000
Br2 0.2500 0.7500 0.5000